[1]
VASP calculation (PBE) on an optimized crystal structure of TmHfTlAg.

a = 7.147 Å, b = 7.147 Å, c = 7.147 Å
α = 90.00°, β = 90.00°, γ = 90.00°
Space group F-43m (No. 216)
Symmetry-distinct sites (fractional):
Tm  0.000  0.000  0.000 (multiplicity 4)
Hf  0.000  0.000  0.500 (multiplicity 4)
Tl  0.250  0.250  0.750 (multiplicity 4)
Ag  0.250  0.250  0.250 (multiplicity 4)

Computed properties:
- Spin magnetization: 0.230 μB per atom
- Volume: 365.06 Å³/cell
- Final energy: -19.818 eV per formula unit
- ΔH_f (0 K): -44 meV/atom

***

[2]
VASP calculation (PBE) on an optimized crystal structure of SrSbBr6.

a = 7.1192 Å, b = 7.1192 Å, c = 19.6988 Å
α = 90.00°, β = 90.00°, γ = 120.00°
Space group R-3 (No. 148, hexagonal axes)
Symmetry-distinct sites (fractional):
Sr  0.0000  0.0000  0.0000 (multiplicity 3)
Sb  0.0000  0.0000  0.5000 (multiplicity 3)
Br  0.0051  0.6386  0.0878 (multiplicity 18)

Computed properties:
- Spin magnetization: 0.000 μB per atom
- Volume: 864.64 Å³/cell
- Final energy: -23.919 eV per formula unit
- Formation energy without anion corrections: -779 kJ/mol of formula units

***

[3]
VASP calculation (PBE) on an optimized crystal structure of EuScZnIn.

a = 7.324 Å, b = 7.324 Å, c = 7.324 Å
α = 90.00°, β = 90.00°, γ = 90.00°
Space group F-43m (No. 216)
Symmetry-distinct sites (fractional):
Eu  0.000  0.000  0.000 (multiplicity 4)
Sc  0.000  0.000  0.500 (multiplicity 4)
Zn  0.250  0.250  0.750 (multiplicity 4)
In  0.250  0.250  0.250 (multiplicity 4)

Computed properties:
- Spin magnetization: 1.826 μB per atom
- Volume: 392.87 Å³/cell
- Final energy: -21.835 eV per formula unit
- ΔH_f (0 K): -304 meV/atom

***

[4]
VASP calculation (PBE) on an optimized crystal structure of RuRh2Cl.

a = 4.052 Å, b = 4.052 Å, c = 7.236 Å
α = 90.00°, β = 90.00°, γ = 90.00°
Space group I4/mmm (No. 139)
Symmetry-distinct sites (fractional):
Ru  0.000  0.000  0.000 (multiplicity 2)
Rh  0.000  0.500  0.250 (multiplicity 4)
Cl  0.000  0.000  0.500 (multiplicity 2)

Computed properties:
- Spin magnetization: 0.000 μB per atom
- Energy above the most stable polymorph in this dataset: 0.490 eV/atom
- Volume: 118.78 Å³/cell
- Final energy: -22.685 eV per formula unit
- Formation energy without anion corrections: 303 kJ/mol of formula units